# 1
Below is NaMgAs after structural relaxation, with properties calculated at the GGA-PBE level.

Summary:
Crystal system ... orthorhombic
Total magnetic moment ... 0.0000 μB/atom
ΔE_f ... -0.555 eV per atom

Unit cell a=4.4569 b=4.2771 c=7.7230 alpha=106.08 beta=90.00 gamma=90.00
Atoms (fractional coordinates):
Na  0.7501  0.0784  0.1568
Mg  0.2500  0.2512  0.5025
As  0.7500  0.3595  0.7190
As  0.2500  0.6405  0.2810
Mg  0.7500  0.7488  0.4975
Na  0.2499  0.9216  0.8432

***

# 2
Below is NaMg2As after structural relaxation, with properties calculated at the GGA-PBE level.

Summary:
Crystal system ... tetragonal
Total magnetic moment ... 0.0000 μB/atom
ΔE_f ... -0.144 eV per atom

Unit cell a=8.7948 b=8.7948 c=6.8527 alpha=50.08 beta=50.08 gamma=90.00
Atoms (fractional coordinates):
Na  0.2500  0.7500  0.5000
Mg  0.0273  0.6250  0.2500
Mg  0.8750  0.9727  0.7500
Mg  0.3750  0.2773  0.7500
Mg  0.7227  0.1250  0.2500
As  0.7500  0.2500  0.5000
Na  0.5000  0.5000  0.0000
As  0.0000  0.0000  0.0000